Entry 1:
# MnHgRh2, optimized geometry, DFT PBE
data_MnHgRh2
_chemical_formula_sum 'Mn2 Hg2 Rh4'
_symmetry_space_group_name_H-M 'I -4 m 2'
_symmetry_Int_Tables_number 119
_symmetry_space_group_name_Hall 'I -4 -2'
_cell_length_a 3.930
_cell_length_b 3.930
_cell_length_c 8.098
_cell_angle_alpha 90.00
_cell_angle_beta 90.00
_cell_angle_gamma 90.00
loop_
_atom_site_label
_atom_site_type_symbol
_atom_site_fract_x
_atom_site_fract_y
_atom_site_fract_z
Mn1 Mn 0.000 0.000 0.000
Hg1 Hg 0.000 0.500 0.750
Rh1 Rh 0.000 0.000 0.500
Rh2 Rh 0.000 0.500 0.250
# N(E_F)   3.6 states/eV/f.u.
# V   125.09 Å³/cell
# Formation enthalpy at 0 K   0.087 eV per atom



Entry 2:
# MnHgRh2, optimized geometry, DFT PBE
data_MnHgRh2
_chemical_formula_sum 'Mn3 Hg3 Rh6'
_symmetry_space_group_name_H-M 'R 3 m'
_symmetry_Int_Tables_number 160
_symmetry_space_group_name_Hall 'R 3 -2"'
_cell_length_a 2.9018
_cell_length_b 2.9018
_cell_length_c 26.4172
_cell_angle_alpha 90.00
_cell_angle_beta 90.00
_cell_angle_gamma 120.00
loop_
_atom_site_label
_atom_site_type_symbol
_atom_site_fract_x
_atom_site_fract_y
_atom_site_fract_z
Mn1 Mn 0.0000 0.0000 0.0000
Hg1 Hg 0.0000 0.0000 0.2441
Rh1 Rh 0.0000 0.0000 0.4883
Rh2 Rh 0.0000 0.0000 0.7396
# N(E_F)   3.6 states/eV/f.u.
# V   192.64 Å³/cell
# Formation enthalpy at 0 K   0.230 eV per atom



Number 2 is which compound?
MnHgRh2



Look up the formation enthalpy at 0 K of the second one.
0.230 eV per atom